{
  "formula": "HfGeTe2",
  "functional": "PBE",
  "state": "relaxed",
  "lattice": [[1.894, 1.093, 9.660], [-1.894, 1.093, 9.660], [0.000, -2.187, 9.660]],
  "species": ["Hf", "Ge", "Te", "Te"],
  "fractional_positions": [[0.000, 0.000, 0.000], [0.500, 0.500, 0.500], [0.397, 0.397, 0.397], [0.603, 0.603, 0.603]]
}

***

{
  "formula": "HfGeTe2",
  "functional": "PBE",
  "state": "relaxed",
  "lattice": [[-3.475, 3.475, 5.868], [3.475, -3.475, 5.868], [3.475, 3.475, -5.868]],
  "species": ["Hf", "Hf", "Ge", "Ge", "Te", "Te", "Te", "Te"],
  "fractional_positions": [[0.000, 0.000, 0.000], [0.750, 0.250, 0.500], [0.250, 0.750, 0.500], [0.500, 0.500, 0.000], [0.108, 0.625, 0.983], [0.375, 0.358, 0.483], [0.642, 0.125, 0.017], [0.875, 0.892, 0.517]]
}

***

{
  "formula": "HfGe2Te6",
  "functional": "PBE",
  "state": "relaxed",
  "lattice": [[3.428, 1.979, 7.592], [-3.428, 1.979, 7.592], [0.000, -3.958, 7.592]],
  "species": ["Hf", "Ge", "Ge", "Te", "Te", "Te", "Te", "Te", "Te"],
  "fractional_positions": [[0.000, 0.000, 0.000], [0.280, 0.280, 0.280], [0.390, 0.390, 0.390], [0.055, 0.410, 0.795], [0.241, 0.884, 0.620], [0.410, 0.795, 0.055], [0.620, 0.241, 0.884], [0.795, 0.055, 0.410], [0.884, 0.620, 0.241]]
}

***

{
  "formula": "Hf2GeTe",
  "functional": "PBE",
  "state": "relaxed",
  "lattice": [[1.987, 1.147, 6.629], [-1.987, 1.147, 6.629], [0.000, -2.295, 6.629]],
  "species": ["Hf", "Hf", "Ge", "Te"],
  "fractional_positions": [[0.233, 0.233, 0.233], [0.767, 0.767, 0.767], [0.500, 0.500, 0.500], [0.000, 0.000, 0.000]]
}

***

| no. | uncorrected formation energy (eV per atom) |
| --- | --- |
| 1 | -0.262 |
| 2 | 0.179 |
| 3 | -0.159 |
| 4 | -0.577 |